one:
This record from Alexandria describes an optimized crystal structure of Pm2In3Pt4. The functional is PBE.

Crystal system ... orthorhombic
Total moment ... 0.00 μB per formula unit
Calculated volume ... 21.28 Å³/atom

abc: 5.932 16.970 7.611
angles: 90.00 90.00 90.00
Space group Cmce (No. 64)
One atom of each set of equivalent atoms:
Pm 0.000 0.101 0.091
In 0.000 0.000 0.500
In 0.250 0.236 0.750
Pt 0.000 0.166 0.472
Pt 0.250 0.070 0.750

=====

two:
This record from Alexandria describes an optimized crystal structure of Pm2In3Pt4. The functional is PBE.

Crystal system ... monoclinic
Total moment ... 0.00 μB per formula unit
Calculated volume ... 21.55 Å³/atom

abc: 7.369 7.500 7.464
angles: 90.00 109.89 90.00
Space group P2_1/c (No. 14)
One atom of each set of equivalent atoms:
Pm 0.193 0.178 0.060
In 0.247 0.656 0.247
In 0.500 0.000 0.500
Pt 0.082 0.544 0.842
Pt 0.495 0.633 0.633

=====

two (8 meV per atom below the next structure)

=====

one:
This record from Alexandria describes an optimized crystal structure of Pm3In2Pt4. The functional is PBE.

Crystal system ... monoclinic
Total moment ... 0.00 μB per formula unit
Calculated volume ... 23.06 Å³/atom

abc: 11.886 4.299 9.183
angles: 90.00 117.83 90.00
Space group C2/m (No. 12)
One atom of each set of equivalent atoms:
Pm 0.000 0.000 0.000
Pm 0.135 0.500 0.701
In 0.166 0.500 0.333
Pt 0.071 0.000 0.417
Pt 0.207 0.500 0.061

=====

two:
This record from Alexandria describes an optimized crystal structure of Pm3In2Pt4. The functional is PBE.

Crystal system ... monoclinic
Total moment ... 0.00 μB per formula unit
Calculated volume ... 23.04 Å³/atom

abc: 10.101 4.515 9.116
angles: 90.00 94.02 90.00
Space group C2/m (No. 12)
One atom of each set of equivalent atoms:
Pm 0.000 0.000 0.000
Pm 0.125 0.500 0.387
In 0.177 0.500 0.783
Pt 0.082 0.000 0.626
Pt 0.206 0.500 0.088

=====

one (19 meV per atom below the next structure)